## P2IrOs (PBE)

Data for a geometry-optimized P2IrOs structure.

Cell and atoms, written as POSCAR:
```
P2IrOs
1.0
1.393 -2.392 0.000
1.393 2.392 0.000
0.000 0.000 9.840
P Ir Os
2 1 1
Direct
0.000 0.000 0.000
0.500 0.500 0.358
0.500 0.500 0.801
0.000 0.000 0.550
```

Summary:
Raw total energy: -29.378 eV/cell
Relative energy among the computed polymorphs: 687 meV per atom
Formation enthalpy at 0 K: 383 meV/atom